Entry 1:
A relaxed MgNiBPd crystal. Source: OQMD, functional PBE.

Cell lengths 4.0542, 4.0542, 4.0542 Å; angles 60.00, 60.00, 60.00 degrees
Positions (direct):
Mg 0.0000 0.0000 0.0000
Ni 0.7500 0.7500 0.7500
B 0.5000 0.5000 0.5000
Pd 0.2500 0.2500 0.2500

Crystal system: cubic
Symmetry: F-43m
M_tot in μB/f.u.: 0.01
Excess energy over the best structure of this formula in the dataset in eV/f.u.: 0.00



Entry 2:
A relaxed MgNiBPt crystal. Source: OQMD, functional PBE.

Cell lengths 4.0723, 4.0723, 4.0723 Å; angles 60.00, 60.00, 60.00 degrees
Positions (direct):
Mg 0.0000 0.0000 0.0000
Ni 0.7500 0.7500 0.7500
B 0.5000 0.5000 0.5000
Pt 0.2500 0.2500 0.2500

Crystal system: cubic
Symmetry: F-43m
M_tot in μB/f.u.: 0.00
Excess energy over the best structure of this formula in the dataset in eV/f.u.: 0.00



Entry 3:
A relaxed MgNiBPt crystal. Source: OQMD, functional PBE.

Cell lengths 4.1108, 4.1108, 4.1108 Å; angles 60.00, 60.00, 60.00 degrees
Positions (direct):
Mg 0.0000 0.0000 0.0000
Ni 0.7500 0.7500 0.7500
B 0.2500 0.2500 0.2500
Pt 0.5000 0.5000 0.5000

Crystal system: cubic
Symmetry: F-43m
M_tot in μB/f.u.: 0.00
Excess energy over the best structure of this formula in the dataset in eV/f.u.: 0.20



Entry 4:
A relaxed MgTcNiB crystal. Source: OQMD, functional PBE.

Cell lengths 4.0260, 4.0260, 4.0260 Å; angles 60.00, 60.00, 60.00 degrees
Positions (direct):
Mg 0.0000 0.0000 0.0000
Tc 0.2500 0.2500 0.2500
Ni 0.7500 0.7500 0.7500
B 0.5000 0.5000 0.5000

Crystal system: cubic
Symmetry: F-43m
M_tot in μB/f.u.: 0.30
Excess energy over the best structure of this formula in the dataset in eV/f.u.: 0.35



Entry 5:
A relaxed MgTcNiB crystal. Source: OQMD, functional PBE.

Cell lengths 4.0586, 4.0586, 4.0586 Å; angles 60.00, 60.00, 60.00 degrees
Positions (direct):
Mg 0.0000 0.0000 0.0000
Tc 0.5000 0.5000 0.5000
Ni 0.7500 0.7500 0.7500
B 0.2500 0.2500 0.2500

Crystal system: cubic
Symmetry: F-43m
M_tot in μB/f.u.: 0.96
Excess energy over the best structure of this formula in the dataset in eV/f.u.: 0.00



Entry 6:
A relaxed MgTlNiB crystal. Source: OQMD, functional PBE.

Cell lengths 4.4210, 4.4210, 4.4210 Å; angles 60.00, 60.00, 60.00 degrees
Positions (direct):
Mg 0.0000 0.0000 0.0000
Tl 0.5000 0.5000 0.5000
Ni 0.2500 0.2500 0.2500
B 0.7500 0.7500 0.7500

Crystal system: cubic
Symmetry: F-43m
M_tot in μB/f.u.: 0.00
Excess energy over the best structure of this formula in the dataset in eV/f.u.: 0.00



Entry 7:
A relaxed MgTlNiB crystal. Source: OQMD, functional PBE.

Cell lengths 4.3992, 4.3992, 4.3992 Å; angles 60.00, 60.00, 60.00 degrees
Positions (direct):
Mg 0.0000 0.0000 0.0000
Tl 0.7500 0.7500 0.7500
Ni 0.5000 0.5000 0.5000
B 0.2500 0.2500 0.2500

Crystal system: cubic
Symmetry: F-43m
M_tot in μB/f.u.: 0.01
Excess energy over the best structure of this formula in the dataset in eV/f.u.: 0.06



Entry 8:
A relaxed MgNiBW crystal. Source: OQMD, functional PBE.

Cell lengths 4.1132, 4.1132, 4.1132 Å; angles 60.00, 60.00, 60.00 degrees
Positions (direct):
Mg 0.0000 0.0000 0.0000
Ni 0.7500 0.7500 0.7500
B 0.2500 0.2500 0.2500
W 0.5000 0.5000 0.5000

Crystal system: cubic
Symmetry: F-43m
M_tot in μB/f.u.: 0.01
Excess energy over the best structure of this formula in the dataset in eV/f.u.: 0.00



Entry 9:
A relaxed MgNiBW crystal. Source: OQMD, functional PBE.

Cell lengths 4.1664, 4.1664, 4.1664 Å; angles 60.00, 60.00, 60.00 degrees
Positions (direct):
Mg 0.0000 0.0000 0.0000
Ni 0.5000 0.5000 0.5000
B 0.2500 0.2500 0.2500
W 0.7500 0.7500 0.7500

Crystal system: cubic
Symmetry: F-43m
M_tot in μB/f.u.: 2.09
Excess energy over the best structure of this formula in the dataset in eV/f.u.: 2.42



Entry 10:
A relaxed Mg3B2PtO8 crystal. Source: OQMD, functional PBE.

Cell lengths 8.5302, 8.5302, 5.2085 Å; angles 90.25, 90.25, 20.99 degrees
Positions (direct):
Mg 0.0000 0.0000 0.0000
Mg 0.1853 0.1853 0.3340
Mg 0.8147 0.8147 0.6660
B 0.3497 0.3497 0.1566
B 0.6503 0.6503 0.8434
Pt 0.5000 0.5000 0.5000
O 0.0602 0.0602 0.3390
O 0.3084 0.3084 0.3814
O 0.3213 0.3213 0.9153
O 0.4360 0.4360 0.1678
O 0.5640 0.5640 0.8322
O 0.6787 0.6787 0.0847
O 0.6916 0.6916 0.6186
O 0.9398 0.9398 0.6610

E_tot in eV per atom: -6.78
Crystal system: monoclinic
Symmetry: C2/m
M_tot in μB/f.u.: 0.00



Entry 11:
A relaxed MgB4Os crystal. Source: OQMD, functional PBE.

Cell lengths 4.4957, 4.4957, 4.4957 Å; angles 140.81, 109.51, 83.74 degrees
Positions (direct):
Mg 0.0000 0.0000 0.0000
B 0.0800 0.7432 0.3368
B 0.4064 0.7432 0.6632
B 0.5936 0.2568 0.3368
B 0.9200 0.2568 0.6632
Os 0.5000 0.5000 0.0000

Crystal system: orthorhombic
Symmetry: Immm
M_tot in μB/f.u.: 0.00
Excess energy over the best structure of this formula in the dataset in eV/f.u.: 0.71



Entry 12:
A relaxed MgBOs crystal. Source: OQMD, functional PBE.

Cell lengths 3.7729, 3.7729, 3.7729 Å; angles 60.00, 60.00, 60.00 degrees
Positions (direct):
Mg 0.0000 0.0000 0.0000
B 0.2500 0.2500 0.2500
Os 0.5000 0.5000 0.5000

E_tot in eV per atom: -6.28
Crystal system: cubic
Symmetry: F-43m
M_tot in μB/f.u.: 0.00



Entry 13:
A relaxed MgB2Os2 crystal. Source: OQMD, functional PBE.

Cell lengths 5.1101, 5.1101, 5.1101 Å; angles 137.26, 137.26, 62.04 degrees
Positions (direct):
Mg 0.0000 0.0000 0.0000
B 0.3961 0.3961 0.0000
B 0.6039 0.6039 0.0000
Os 0.2500 0.7500 0.5000
Os 0.7500 0.2500 0.5000

E_tot in eV per atom: -7.50
Crystal system: tetragonal
Symmetry: I4/mmm
M_tot in μB/f.u.: 0.01



Entry 14:
A relaxed Mg2B5Os3 crystal. Source: OQMD, functional PBE.

Cell lengths 5.1937, 5.1937, 8.0419 Å; angles 120.99, 120.99, 45.86 degrees
Positions (direct):
Mg 0.1171 0.1171 0.2679
Mg 0.8829 0.8829 0.7321
B 0.1570 0.6653 0.3869
B 0.3347 0.8430 0.6131
B 0.3655 0.3281 0.1937
B 0.5037 0.4963 0.0000
B 0.6719 0.6345 0.8063
Os 0.2538 0.2613 0.8824
Os 0.7387 0.7462 0.1176
Os 0.7403 0.2597 0.5000

E_tot in eV per atom: -7.13
Crystal system: monoclinic
Symmetry: C2
M_tot in μB/f.u.: 0.00



Entry 15:
A relaxed Mg3B7Os crystal. Source: OQMD, functional PBE.

Cell lengths 19.1754, 19.1754, 5.4949 Å; angles 90.00, 90.00, 171.37 degrees
Positions (direct):
Mg 0.0556 0.9444 0.2457
Mg 0.0556 0.9444 0.7543
Mg 0.2145 0.7855 0.0000
Mg 0.7855 0.2145 0.0000
Mg 0.9444 0.0556 0.2457
Mg 0.9444 0.0556 0.7543
B 0.1149 0.8851 0.1529
B 0.1149 0.8851 0.8471
B 0.3266 0.6734 0.3548
B 0.3266 0.6734 0.6452
B 0.3788 0.6212 0.3457
B 0.3788 0.6212 0.6543
B 0.4796 0.5204 0.0000
B 0.5204 0.4796 0.0000
B 0.6212 0.3788 0.3457
B 0.6212 0.3788 0.6543
B 0.6734 0.3266 0.3548
B 0.6734 0.3266 0.6452
B 0.8851 0.1149 0.1529
B 0.8851 0.1149 0.8471
Os 0.3464 0.6536 0.0000
Os 0.6536 0.3464 0.0000

E_tot in eV per atom: -5.25
Crystal system: orthorhombic
Symmetry: Cmmm
M_tot in μB/f.u.: 0.00



Entry 16:
A relaxed Mg2BOs crystal. Source: OQMD, functional PBE.

Cell lengths 4.2189, 4.2189, 4.2189 Å; angles 60.00, 60.00, 60.00 degrees
Positions (direct):
Mg 0.0000 0.0000 0.0000
Mg 0.2500 0.2500 0.2500
B 0.5000 0.5000 0.5000
Os 0.7500 0.7500 0.7500

E_tot in eV per atom: -4.64
Crystal system: cubic
Symmetry: F-43m
M_tot in μB/f.u.: 0.00



Entry 17:
A relaxed MgB4Os crystal. Source: OQMD, functional PBE.

Cell lengths 5.8672, 11.2187, 3.4713 Å; angles 90.00, 90.00, 90.00 degrees
Positions (direct):
Mg 0.1261 0.1493 0.0000
Mg 0.3739 0.6493 0.0000
Mg 0.6261 0.3507 0.0000
Mg 0.8739 0.8507 0.0000
B 0.0183 0.6958 0.5000
B 0.1152 0.5506 0.5000
B 0.1335 0.9719 0.5000
B 0.2048 0.8143 0.5000
B 0.2952 0.3143 0.5000
B 0.3665 0.4719 0.5000
B 0.3848 0.0506 0.5000
B 0.4817 0.1958 0.5000
B 0.5183 0.8042 0.5000
B 0.6152 0.9494 0.5000
B 0.6335 0.5281 0.5000
B 0.7048 0.6857 0.5000
B 0.7952 0.1857 0.5000
B 0.8665 0.0281 0.5000
B 0.8848 0.4494 0.5000
B 0.9817 0.3042 0.5000
Os 0.1422 0.4094 0.0000
Os 0.3578 0.9094 0.0000
Os 0.6422 0.0906 0.0000
Os 0.8578 0.5906 0.0000

Crystal system: orthorhombic
Symmetry: Pbam
M_tot in μB/f.u.: 0.00
Excess energy over the best structure of this formula in the dataset in eV/f.u.: 0.00



Entry 18:
A relaxed MgB4Os crystal. Source: OQMD, functional PBE.

Cell lengths 3.0070, 3.0070, 6.9310 Å; angles 90.00, 90.00, 120.00 degrees
Positions (direct):
Mg 0.0000 0.0000 0.0000
B 0.3333 0.6667 0.2546
B 0.3333 0.6667 0.7454
B 0.6667 0.3333 0.2546
B 0.6667 0.3333 0.7454
Os 0.0000 0.0000 0.5000

Crystal system: hexagonal
Symmetry: P6/mmm
M_tot in μB/f.u.: 0.01
Excess energy over the best structure of this formula in the dataset in eV/f.u.: 1.63



Entry 19:
A relaxed MgBSbOs crystal. Source: OQMD, functional PBE.

Cell lengths 4.4117, 4.4117, 4.4117 Å; angles 60.00, 60.00, 60.00 degrees
Positions (direct):
Mg 0.0000 0.0000 0.0000
B 0.7500 0.7500 0.7500
Sb 0.2500 0.2500 0.2500
Os 0.5000 0.5000 0.5000

Crystal system: cubic
Symmetry: F-43m
M_tot in μB/f.u.: 0.00
Excess energy over the best structure of this formula in the dataset in eV/f.u.: 0.00



Entry 20:
A relaxed Mg4Pa2B crystal. Source: OQMD, functional PBE.

Cell lengths 3.8376, 3.8376, 11.1488 Å; angles 90.00, 90.00, 90.00 degrees
Positions (direct):
Mg 0.0000 0.5000 0.2448
Mg 0.0000 0.5000 0.7552
Mg 0.5000 0.0000 0.2448
Mg 0.5000 0.0000 0.7552
Pa 0.0000 0.0000 0.0000
Pa 0.5000 0.5000 0.5000
B 0.5000 0.5000 0.0000

E_tot in eV per atom: -3.81
Crystal system: tetragonal
Symmetry: P4/mmm
M_tot in μB/f.u.: 2.65



Entry 21:
A relaxed MgPaB crystal. Source: OQMD, functional PBE.

Cell lengths 4.3507, 4.3507, 4.3507 Å; angles 60.00, 60.00, 60.00 degrees
Positions (direct):
Mg 0.0000 0.0000 0.0000
Pa 0.2500 0.2500 0.2500
B 0.7500 0.7500 0.7500

Crystal system: cubic
Symmetry: F-43m
M_tot in μB/f.u.: 0.48
Excess energy over the best structure of this formula in the dataset in eV/f.u.: 3.15



Entry 22:
A relaxed MgPaB crystal. Source: OQMD, functional PBE.

Cell lengths 4.5167, 4.5167, 4.5167 Å; angles 60.00, 60.00, 60.00 degrees
Positions (direct):
Mg 0.0000 0.0000 0.0000
Pa 0.7500 0.7500 0.7500
B 0.5000 0.5000 0.5000

Crystal system: cubic
Symmetry: F-43m
M_tot in μB/f.u.: 0.00
Excess energy over the best structure of this formula in the dataset in eV/f.u.: 3.17



Entry 23:
A relaxed MgPaB crystal. Source: OQMD, functional PBE.

Cell lengths 4.2825, 4.2825, 4.2825 Å; angles 60.00, 60.00, 60.00 degrees
Positions (direct):
Mg 0.0000 0.0000 0.0000
Pa 0.5000 0.5000 0.5000
B 0.2500 0.2500 0.2500

Crystal system: cubic
Symmetry: F-43m
M_tot in μB/f.u.: 0.00
Excess energy over the best structure of this formula in the dataset in eV/f.u.: 0.00



Entry 24:
A relaxed MgB4Pd crystal. Source: OQMD, functional PBE.

Cell lengths 3.0588, 3.0588, 6.9430 Å; angles 90.00, 90.00, 120.00 degrees
Positions (direct):
Mg 0.0000 0.0000 0.0000
B 0.3333 0.6667 0.2467
B 0.3333 0.6667 0.7533
B 0.6667 0.3333 0.2467
B 0.6667 0.3333 0.7533
Pd 0.0000 0.0000 0.5000

Crystal system: hexagonal
Symmetry: P6/mmm
Excess energy over the best structure of this formula in the dataset in eV/f.u.: 0.24



Entry 25:
A relaxed MgB4Pd crystal. Source: OQMD, functional PBE.

Cell lengths 4.6719, 4.6719, 4.6719 Å; angles 142.03, 111.97, 80.65 degrees
Positions (direct):
Mg 0.0000 0.0000 0.0000
B 0.0752 0.7422 0.3330
B 0.4091 0.7422 0.6670
B 0.5909 0.2578 0.3330
B 0.9248 0.2578 0.6670
Pd 0.5000 0.5000 0.0000

Crystal system: orthorhombic
Symmetry: Immm
Excess energy over the best structure of this formula in the dataset in eV/f.u.: 0.00



Entry 26:
A relaxed MgBPd4 crystal. Source: OQMD, functional PBE.

Cell lengths 5.7764, 5.7764, 3.0025 Å; angles 90.00, 90.00, 92.82 degrees
Positions (direct):
Mg 0.0000 0.0000 0.0000
B 0.5000 0.5000 0.5000
Pd 0.2516 0.7484 0.5000
Pd 0.3168 0.3168 0.0000
Pd 0.6832 0.6832 0.0000
Pd 0.7484 0.2516 0.5000

E_tot in eV per atom: -4.86
Crystal system: orthorhombic
Symmetry: Cmmm



Entry 27:
A relaxed Mg2BPd crystal. Source: OQMD, functional PBE.

Cell lengths 4.2774, 4.2774, 4.2774 Å; angles 60.00, 60.00, 60.00 degrees
Positions (direct):
Mg 0.0000 0.0000 0.0000
Mg 0.2500 0.2500 0.2500
B 0.5000 0.5000 0.5000
Pd 0.7500 0.7500 0.7500

E_tot in eV per atom: -3.53
Crystal system: cubic
Symmetry: F-43m